First-principles (PBE) data for a relaxed MgSbW crystal, as listed in the Alexandria database.

Cell and atoms, written as POSCAR:
```
MgSbW
1.0
4.548 0.000 0.000
2.274 3.939 0.000
2.274 1.313 3.713
Mg Sb W
1 1 1
direct
0.500 0.500 0.500
0.750 0.750 0.750
0.000 0.000 0.000
```

Calculated values
Calculated volume, Å³ per atom: 22.2
Space group: No. 216
Formation energy (no corrections), kJ per mole of atoms: 80.2

First-principles (PBE) data for a relaxed La2Tb5Sm4 crystal, as listed in the Alexandria database.

Cell and atoms, written as POSCAR:
```
La2Tb5Sm4
1.0
3.500 0.000 -0.661
-0.264 11.722 -1.397
-0.099 0.359 9.071
Tb La Sm
5 2 4
direct
0.823 0.934 0.647
0.094 0.540 0.188
0.500 0.000 0.000
0.177 0.066 0.353
0.906 0.460 0.812
0.716 0.352 0.432
0.284 0.648 0.568
0.033 0.256 0.066
0.967 0.744 0.934
0.640 0.799 0.280
0.360 0.201 0.720
```

Calculated values
Calculated volume, Å³ per atom: 33.9
ΔH_f (0 K), eV per atom: 0.0699
Space group: No. 12

First-principles (PBE) data for a relaxed PrZr2Cu crystal, as listed in the Alexandria database.

Cell and atoms, written as POSCAR:
```
PrZr2Cu
1.0
3.352 0.000 0.000
0.000 3.352 0.000
0.000 0.000 8.091
Zr Cu Pr
2 1 1
direct
0.000 0.000 0.804
0.000 0.000 0.196
0.500 0.500 0.000
0.500 0.500 0.500
```

Calculated values
Calculated volume, Å³ per atom: 22.7
ΔH_f (0 K), eV per atom: 0.0589
Space group: No. 123

First-principles (PBE) data for a relaxed LiNd crystal, as listed in the Alexandria database.

Cell and atoms, written as POSCAR:
```
LiNd
1.0
-0.072 2.921 -1.765
-1.794 -2.530 -4.114
-6.020 -0.399 2.871
Li Nd
2 2
direct
0.063 0.750 0.127
0.937 0.250 0.873
0.324 0.750 0.648
0.676 0.250 0.352
```

Calculated values
Calculated volume, Å³ per atom: 28.4
ΔH_f (0 K), eV per atom: 0.1182
Space group: No. 11

First-principles (PBE) data for a relaxed K2CaRhF6 crystal, as listed in the Alexandria database.

Cell and atoms, written as POSCAR:
```
K2CaRhF6
1.0
-2.069 5.418 2.426
-5.928 -2.054 -0.470
0.525 -3.309 7.836
K Rh Ca F
4 2 2 12
direct
0.000 0.249 0.250
0.000 0.249 0.750
0.500 0.751 0.750
0.500 0.751 0.250
0.500 0.250 0.500
0.000 0.750 0.000
0.000 0.750 0.500
0.500 0.250 0.000
0.000 0.750 0.762
0.749 0.500 0.000
0.250 0.999 0.500
0.500 0.250 0.262
0.250 0.001 0.000
0.750 0.999 0.500
0.751 0.500 0.500
0.251 0.500 0.000
0.000 0.750 0.238
0.500 0.250 0.738
0.249 0.500 0.500
0.750 0.001 0.000
```

Calculated values
Calculated volume, Å³ per atom: 16.9
Space group: No. 59
Formation energy (no corrections), kJ per mole of atoms: -251.1

First-principles (PBE) data for a relaxed AsHRh crystal, as listed in the Alexandria database.

Cell and atoms, written as POSCAR:
```
AsHRh
1.0
-2.355 -1.527 1.697
2.194 -2.188 1.076
1.394 4.212 5.725
H As Rh
2 2 2
direct
0.500 0.500 0.543
0.000 0.000 0.043
0.500 0.500 0.966
0.000 0.000 0.466
0.500 0.500 0.324
0.000 0.000 0.824
```

Calculated values
Electronic total energy, eV/f.u.: -15.48
Calculated volume, Å³ per atom: 13.0
Space group: No. 107